Entry from Alexandria via LeMat-Bulk: a relaxed structure of GaNi7Bi2As2 (PBE).

Geometry as POSCAR:
```
GaNi7Bi2As2
1.0
0.000 2.619 14.234
2.618 0.000 14.234
2.618 2.619 0.000
Ga Ni Bi As
1 7 2 2
direct
0.000 0.000 0.000
0.061 0.061 0.439
0.308 0.308 0.692
0.439 0.439 0.061
0.500 0.500 0.500
0.561 0.561 0.939
0.692 0.692 0.308
0.939 0.939 0.561
0.209 0.209 0.791
0.791 0.791 0.209
0.389 0.389 0.611
0.611 0.611 0.389
```

Its formation energy is -0.173 eV per atom. The calculation puts the density of states at the Fermi level at 0.46 states/eV/atom.